Entry 1:
The following is a meta-GGA SCAN calculation of MnCo2Si at its PBEsol-relaxed geometry, from Alexandria via LeMat-Bulk.

The calculation puts the uncorrected formation energy at -0.27 eV/atom. The calculation puts the density of states at the Fermi level at 14.046 states/eV/cell.

The structure belongs to space group F-43m (No. 216); the cell edges are 5.529, 5.529 and 5.529 Å and the angles 90.00°, 90.00° and 90.00°. The inequivalent atoms are Mn at (0.000, 0.000, 0.000), Co at (0.000, 0.000, 0.500), Co at (0.250, 0.250, 0.250) and Si at (0.250, 0.250, 0.750).

Entry 2:
The following is a meta-GGA SCAN calculation of Cd2AgHg at its PBEsol-relaxed geometry, from Alexandria via LeMat-Bulk.

The calculation puts the density of states at the Fermi level at 4.719 states/eV/cell. Its formation energy is 0.013 eV/atom.

The structure belongs to space group R-3m (No. 166, hexagonal axes); the cell edges are 3.1069, 3.1069 and 28.5183 Å and the angles 90.00°, 90.00° and 120.00°. The inequivalent atoms are Cd at (0.0000, 0.0000, 0.2459), Ag at (0.0000, 0.0000, 0.5000) and Hg at (0.0000, 0.0000, 0.0000).

Entry 3:
The following is a meta-GGA SCAN calculation of PmNdGa2 at its PBEsol-relaxed geometry, from Alexandria via LeMat-Bulk.

The calculation puts the density of states at the Fermi level at 6.584 states/eV/cell. Its formation energy is -0.658 eV/atom.

The structure belongs to space group Fm-3m (No. 225); the cell edges are 7.245, 7.245 and 7.245 Å and the angles 90.00°, 90.00° and 90.00°. The inequivalent atoms are Pm at (0.000, 0.000, 0.000), Nd at (0.000, 0.000, 0.500) and Ga at (0.250, 0.250, 0.250).

Entry 4:
The following is a meta-GGA SCAN calculation of Cs3TlO3 at its PBEsol-relaxed geometry, from Alexandria via LeMat-Bulk.

The calculation puts the uncorrected formation energy at -1.22 eV/atom. The value obtained for the energy above the most stable polymorph in this dataset is 0 meV/atom. The calculation puts the density of states at the Fermi level at 0.000 states/eV/cell.

The structure belongs to space group P2_1/c (No. 14); the cell edges are 8.140, 7.328 and 11.867 Å and the angles 90.00°, 94.84° and 90.00°. The inequivalent atoms are Cs at (0.048, 0.129, 0.157), Cs at (0.351, 0.171, 0.928), Cs at (0.375, 0.682, 0.808), Tl at (0.162, 0.591, 0.070), O at (0.106, 0.043, 0.402), O at (0.253, 0.643, 0.539) and O at (0.294, 0.057, 0.703).

Entry 5:
The following is a meta-GGA SCAN calculation of SbOs at its PBEsol-relaxed geometry, from Alexandria via LeMat-Bulk.

The calculation puts the uncorrected formation energy at 0.57 eV/atom. The calculation puts the density of states at the Fermi level at 4.772 states/eV/cell.

The structure belongs to space group Cm (No. 8); the cell edges are 9.400, 3.074 and 7.738 Å and the angles 90.00°, 94.91° and 90.00°. The inequivalent atoms are Sb at (0.000, 0.000, 0.000), Sb at (0.083, 0.000, 0.597), Sb at (0.304, 0.000, 0.271), Os at (0.082, 0.500, 0.299), Os at (0.225, 0.500, 0.966) and Os at (0.362, 0.000, 0.743).

Entry 6:
The following is a meta-GGA SCAN calculation of LaTa2Ru2 at its PBEsol-relaxed geometry, from Alexandria via LeMat-Bulk.

The value obtained for the energy above the most stable polymorph in this dataset is 293 meV/atom. The calculation puts the density of states at the Fermi level at 12.714 states/eV/cell. Its formation energy is -0.082 eV/atom.

The structure belongs to space group I4/mmm (No. 139); the cell edges are 4.383, 4.383 and 10.659 Å and the angles 90.00°, 90.00° and 90.00°. The inequivalent atoms are La at (0.000, 0.000, 0.000), Ta at (0.000, 0.000, 0.367) and Ru at (0.000, 0.500, 0.250).

Entry 7:
The following is a meta-GGA SCAN calculation of CuGeBi3 at its PBEsol-relaxed geometry, from Alexandria via LeMat-Bulk.

The calculation puts the density of states at the Fermi level at 3.848 states/eV/cell. Its formation energy is 1.054 eV/atom.

The structure belongs to space group Pm-3m (No. 221); the cell edges are 5.409, 5.409 and 5.409 Å and the angles 90.00°, 90.00° and 90.00°. The inequivalent atoms are Cu at (0.000, 0.000, 0.000), Ge at (0.500, 0.500, 0.500) and Bi at (0.000, 0.500, 0.500).

Entry 8:
The following is a meta-GGA SCAN calculation of MnRuN2O at its PBEsol-relaxed geometry, from Alexandria via LeMat-Bulk.

The calculation puts the uncorrected formation energy at 0.20 eV/atom. The calculation puts the density of states at the Fermi level at 1.590 states/eV/cell.

The structure belongs to space group P4/mmm (No. 123); the cell edges are 3.705, 3.705 and 4.095 Å and the angles 90.00°, 90.00° and 90.00°. The inequivalent atoms are Mn at (0.000, 0.000, 0.000), Ru at (0.500, 0.500, 0.500), N at (0.000, 0.500, 0.500) and O at (0.500, 0.500, 0.000).